1.
## RbLaMoPt2 (GGA-PBE)

Data for a geometry-optimized RbLaMoPt2 structure.

abc: 5.0067 5.1493 5.0067
angles: 90.00 90.00 90.00
Closest atoms and distances in Å follow each position.
Atoms (fractional coordinates):
1 Rb 0.0000 0.5000 0.0000  2 Mo 2.57
2 La 0.5000 0.5000 0.5000  4 Rb 3.54, 8 Pt 3.59
3 Pt 0.5000 0.0000 0.0000  2 Mo 2.50
4 Pt 0.0000 0.0000 0.5000  2 Mo 2.50
5 Mo 0.0000 0.0000 0.0000  4 Pt 2.50, 2 Rb 2.57

calculated formation energy	0.59	eV/atom
size of the total moment	0.00	μB per formula unit
energy	-25.84	eV/cell
calculated volume	129.1	Å³/cell
theoretical density	9.14	Mg/m³



2.
## Rb3Sb2Pb2 (GGA-PBE)

Data for a geometry-optimized Rb3Sb2Pb2 structure.

abc: 8.1888 9.3201 15.8575
angles: 90.00 90.00 90.00
Closest atoms and distances in Å follow each position.
Atoms (fractional coordinates):
1 Sb 0.6720 0.7500 0.0000  2 Pb 3.09
2 Rb 0.0748 0.9573 0.8830  3 Sb 3.64-3.90, 2 Pb 3.78-3.89, 1 Rb 3.99
3 Rb 0.0748 0.9573 0.6170  3 Sb 3.64-3.90, 2 Pb 3.78-3.89, 1 Rb 3.99
4 Pb 0.6422 0.3935 0.4326  2 Sb 3.09-3.15, 1 Pb 3.43
5 Pb 0.6422 0.3935 0.0674  2 Sb 3.09-3.15, 1 Pb 3.43
6 Pb 0.3578 0.8935 0.0674  2 Sb 3.09-3.15, 1 Pb 3.43
7 Sb 0.2238 0.6668 0.7500  2 Pb 3.15
8 Rb 0.3625 0.2059 0.2500  4 Sb 3.59-4.00
9 Rb 0.6375 0.7059 0.2500  4 Sb 3.59-4.00
10 Pb 0.6422 0.1065 0.9326  2 Sb 3.09-3.15, 1 Pb 3.43
11 Sb 0.3280 0.2500 0.0000  2 Pb 3.09
12 Rb 0.9252 0.0427 0.1170  3 Sb 3.64-3.90, 2 Pb 3.78-3.89, 1 Rb 3.99
13 Sb 0.6720 0.7500 0.5000  2 Pb 3.09
14 Sb 0.7762 0.3332 0.2500  2 Pb 3.15
15 Rb 0.9252 0.0427 0.3830  3 Sb 3.64-3.90, 2 Pb 3.78-3.89, 1 Rb 3.99
16 Pb 0.3578 0.8935 0.4326  2 Sb 3.09-3.15, 1 Pb 3.43
17 Pb 0.6422 0.1065 0.5674  2 Sb 3.09-3.15, 1 Pb 3.43
18 Sb 0.3280 0.2500 0.5000  2 Pb 3.09
19 Rb 0.0748 0.5427 0.1170  3 Sb 3.64-3.90, 2 Pb 3.78-3.89, 1 Rb 3.99
20 Rb 0.3625 0.2941 0.7500  4 Sb 3.59-4.00
21 Rb 0.9252 0.4573 0.8830  3 Sb 3.64-3.90, 2 Pb 3.78-3.89, 1 Rb 3.99
22 Sb 0.7762 0.1668 0.7500  2 Pb 3.15
23 Pb 0.3578 0.6065 0.9326  2 Sb 3.09-3.15, 1 Pb 3.43
24 Rb 0.9252 0.4573 0.6170  3 Sb 3.64-3.90, 2 Pb 3.78-3.89, 1 Rb 3.99
25 Rb 0.6375 0.7941 0.7500  4 Sb 3.59-4.00
26 Sb 0.2238 0.8332 0.2500  2 Pb 3.15
27 Pb 0.3578 0.6065 0.5674  2 Sb 3.09-3.15, 1 Pb 3.43
28 Rb 0.0748 0.5427 0.3830  3 Sb 3.64-3.90, 2 Pb 3.78-3.89, 1 Rb 3.99

E_form (uncorrected)	-0.268	eV per atom
size of the total moment	0.00	μB per formula unit
energy	-81.77	eV/cell
calculated volume	1210.3	Å³/cell
theoretical density	5.02	Mg/m³



3.
## InAgNF2 (GGA-PBE)

Data for a geometry-optimized InAgNF2 structure.

abc: 4.6026 4.6026 4.0981
angles: 90.00 90.00 90.00
Closest atoms and distances in Å follow each position.
Atoms (fractional coordinates):
1 F 0.0000 0.5000 0.0000  2 Ag 2.30
2 N 0.0000 0.0000 0.5000  2 Ag 2.05
3 In 0.5000 0.5000 0.5000  8 F 3.08, 4 N 3.25
4 Ag 0.0000 0.0000 0.0000  2 N 2.05
5 F 0.5000 0.0000 0.0000  2 Ag 2.30

E_form (uncorrected)	-0.178	eV per atom
E above lowest polymorph	0.379	eV/atom
size of the total moment	2.23	μB per formula unit
energy	-18.55	eV/cell
calculated volume	86.8	Å³/cell
theoretical density	5.25	Mg/m³



4.
## CsKBi2 (GGA-PBE)

Data for a geometry-optimized CsKBi2 structure.

abc: 6.2103 6.2103 6.2103
angles: 60.00 60.00 60.00
Closest atoms and distances in Å follow each position.
Atoms (fractional coordinates):
1 Bi 0.7500 0.7500 0.7500  4 Cs 3.80, 4 K 3.80
2 Bi 0.2500 0.2500 0.2500  4 K 3.80, 4 Cs 3.80
3 K 0.0000 0.0000 0.0000  8 Bi 3.80
4 Cs 0.5000 0.5000 0.5000  8 Bi 3.80

calculated formation energy	-0.01	eV/atom
E above lowest polymorph	0.326	eV/atom
size of the total moment	0.00	μB per formula unit
energy	-9.76	eV/cell
calculated volume	169.4	Å³/cell
theoretical density	5.78	Mg/m³



5.
## Sm6Pt2I3Cl (GGA-PBE)

Data for a geometry-optimized Sm6Pt2I3Cl structure.

abc: 7.5077 7.5077 8.1427
angles: 98.79 98.79 119.87
Closest atoms and distances in Å follow each position.
Atoms (fractional coordinates):
1 Cl 0.0000 0.0000 0.0000  6 Sm 3.09-3.11
2 I 0.1604 0.8396 0.5000  6 Sm 3.36-3.56
3 Sm 0.6992 0.6992 0.1876  2 Pt 2.81, 1 Cl 3.09
4 Sm 0.5725 0.9364 0.8097  2 Pt 2.81, 1 Cl 3.11
5 Pt 0.6673 0.3327 0.0000  6 Sm 2.81
6 Sm 0.4275 0.0636 0.1903  2 Pt 2.81, 1 Cl 3.11
7 Sm 0.3008 0.3008 0.8124  2 Pt 2.81, 1 Cl 3.09
8 Sm 0.9364 0.5725 0.8097  2 Pt 2.81, 1 Cl 3.11
9 I 0.5000 0.5000 0.5000  6 Sm 3.32-3.56
10 I 0.8396 0.1604 0.5000  6 Sm 3.36-3.56
11 Pt 0.3327 0.6673 0.0000  6 Sm 2.81
12 Sm 0.0636 0.4275 0.1903  2 Pt 2.81, 1 Cl 3.11

E_form (uncorrected)	-1.111	eV per atom
size of the total moment	0.00	μB per formula unit
energy	-60.23	eV/cell
calculated volume	379.1	Å³/cell
theoretical density	7.48	Mg/m³



6.
## Li3HI4 (GGA-PBE)

Data for a geometry-optimized Li3HI4 structure.

abc: 4.5558 4.5559 14.6611
angles: 81.06 81.06 60.00
Closest atoms and distances in Å follow each position.
Atoms (fractional coordinates):
1 Li 0.2549 0.2549 0.2353  4 I 2.74-2.92
2 Li 0.6779 0.6779 0.9664  3 H 2.79, 3 I 2.80
3 I 0.5707 0.5707 0.2879  4 Li 2.74-2.90
4 Li 0.5036 0.5036 0.4893  4 I 2.77-2.90
5 H 0.0329 0.0330 0.9012  1 I 1.64
6 I 0.0709 0.0709 0.7874  1 H 1.64
7 I 0.3225 0.3224 0.0326  4 Li 2.80-2.92
8 I 0.8167 0.8167 0.5499  3 Li 2.77

size of the total moment	0.00	μB per formula unit
energy	-22.07	eV/cell
calculated volume	259.3	Å³/cell
theoretical density	3.39	Mg/m³



7.
## CaRe2Rh (GGA-PBE)

Data for a geometry-optimized CaRe2Rh structure.

abc: 9.8140 9.8140 9.8140
angles: 16.52 16.52 16.52
Closest atoms and distances in Å follow each position.
Atoms (fractional coordinates):
1 Re 0.5085 0.5085 0.5085  3 Rh 2.72, 6 Re 2.82
2 Rh 0.2500 0.2500 0.2500  6 Re 2.72, 6 Rh 2.82
3 Re 0.9915 0.9915 0.9915  3 Rh 2.72, 6 Re 2.82
4 Ca 0.7500 0.7500 0.7500  6 Ca 2.82, 6 Re 3.12

calculated formation energy	0.54	eV/atom
E above lowest polymorph	0.317	eV/atom
size of the total moment	0.00	μB per formula unit
energy	-32.07	eV/cell
calculated volume	66.6	Å³/cell
theoretical density	12.85	Mg/m³



8.
## NiBi2MoBr (GGA-PBE)

Data for a geometry-optimized NiBi2MoBr structure.

abc: 5.4616 4.8140 5.4616
angles: 90.00 90.00 90.00
Closest atoms and distances in Å follow each position.
Atoms (fractional coordinates):
1 Br 0.0000 0.5000 0.0000  2 Mo 2.41
2 Ni 0.5000 0.5000 0.5000  8 Bi 3.64, 4 Br 3.86
3 Mo 0.0000 0.0000 0.0000  2 Br 2.41
4 Bi 0.5000 0.0000 0.0000  2 Mo 2.73
5 Bi 0.0000 0.0000 0.5000  2 Mo 2.73

E_form (uncorrected)	0.973	eV per atom
size of the total moment	0.49	μB per formula unit
energy	-21.18	eV/cell
calculated volume	143.6	Å³/cell
theoretical density	7.55	Mg/m³



9.
## DyEr4Hg (GGA-PBE)

Data for a geometry-optimized DyEr4Hg structure.

abc: 3.5367 3.5367 13.9450
angles: 90.00 90.00 90.00
Closest atoms and distances in Å follow each position.
Atoms (fractional coordinates):
1 Er 0.5000 0.5000 0.1773  4 Dy 3.52, 8 Er 3.53-3.54
2 Hg 0.5000 0.5000 0.5000  8 Er 3.21, 4 Hg 3.54
3 Er 0.0000 0.0000 0.3558  4 Hg 3.21, 8 Er 3.53-3.54
4 Er 0.0000 0.0000 0.6442  4 Hg 3.21, 8 Er 3.53-3.54
5 Dy 0.0000 0.0000 0.0000  8 Er 3.52, 4 Dy 3.54
6 Er 0.5000 0.5000 0.8227  4 Dy 3.52, 8 Er 3.53-3.54

calculated formation energy	-0.14	eV/atom
E above lowest polymorph	0.000	eV/atom
size of the total moment	0.00	μB per formula unit
energy	-24.01	eV/cell
calculated volume	174.4	Å³/cell
theoretical density	9.83	Mg/m³



10.
## TbMg3In3 (GGA-PBE)

Data for a geometry-optimized TbMg3In3 structure.

abc: 7.7279 7.7279 7.7279
angles: 90.00 90.00 90.00
Closest atoms and distances in Å follow each position.
Atoms (fractional coordinates):
1 Mg 0.0000 0.7500 0.5000  4 In 2.73
2 Tb 0.5000 0.5000 0.5000  12 In 4.32, 12 Mg 4.32
3 In 0.2500 0.0000 0.5000  4 Mg 2.73
4 Mg 0.5000 0.0000 0.7500  4 In 2.73
5 Mg 0.5000 0.0000 0.2500  4 In 2.73
6 Mg 0.7500 0.5000 0.0000  4 In 2.73
7 In 0.0000 0.5000 0.7500  4 Mg 2.73
8 Mg 0.0000 0.2500 0.5000  4 In 2.73
9 In 0.7500 0.0000 0.5000  4 Mg 2.73
10 In 0.5000 0.7500 0.0000  4 Mg 2.73
11 In 0.0000 0.5000 0.2500  4 Mg 2.73
12 In 0.5000 0.2500 0.0000  4 Mg 2.73
13 Mg 0.2500 0.5000 0.0000  4 In 2.73
14 Tb 0.0000 0.0000 0.0000  12 In 4.32, 12 Mg 4.32

calculated formation energy	0.50	eV/atom
size of the total moment	0.00	μB per formula unit
energy	-28.21	eV/cell
calculated volume	461.5	Å³/cell
theoretical density	4.15	Mg/m³



11.
## Ti2Ge2As (GGA-PBE)

Data for a geometry-optimized Ti2Ge2As structure.

abc: 6.7811 6.7811 3.7692
angles: 90.00 90.00 90.00
Closest atoms and distances in Å follow each position.
Atoms (fractional coordinates):
1 Ge 0.1321 0.6321 0.5000  1 Ge 2.53, 6 Ti 2.66-2.81
2 Ge 0.3679 0.1321 0.5000  1 Ge 2.53, 6 Ti 2.66-2.81
3 Ti 0.1720 0.3280 0.0000  2 As 2.51, 6 Ge 2.66-2.81
4 Ge 0.8679 0.3679 0.5000  1 Ge 2.53, 6 Ti 2.66-2.81
5 As 0.0000 0.0000 0.0000  4 Ti 2.51
6 Ti 0.6720 0.1720 0.0000  2 As 2.51, 6 Ge 2.66-2.81
7 Ti 0.8280 0.6720 0.0000  2 As 2.51, 6 Ge 2.66-2.81
8 Ti 0.3280 0.8280 0.0000  2 As 2.51, 6 Ge 2.66-2.81
9 As 0.5000 0.5000 0.0000  4 Ti 2.51
10 Ge 0.6321 0.8679 0.5000  1 Ge 2.53, 6 Ti 2.66-2.81

calculated formation energy	-0.46	eV/atom
size of the total moment	0.00	μB per formula unit
energy	-63.91	eV/cell
calculated volume	173.3	Å³/cell
theoretical density	6.05	Mg/m³



12.
## Li5Ga5Pd2 (GGA-PBE)

Data for a geometry-optimized Li5Ga5Pd2 structure.

abc: 4.4303 6.9637 7.6827
angles: 122.27 90.00 108.55
Closest atoms and distances in Å follow each position.
Atoms (fractional coordinates):
1 Li 0.3218 0.6436 0.6566  6 Ga 2.68-2.95, 2 Li 2.78-2.92, 1 Pd 2.89
2 Pd 0.8377 0.6754 0.1966  5 Ga 2.57-2.70, 3 Li 2.72-2.75
3 Li 0.5000 0.0000 0.5000  6 Ga 2.70-2.80, 2 Li 2.73
4 Li 0.5898 0.1797 0.9183  3 Pd 2.72-2.75, 3 Li 2.73-2.92, 5 Ga 2.75-3.01
5 Ga 0.9236 0.8473 0.5963  2 Pd 2.61, 1 Ga 2.67, 5 Li 2.68-2.76
6 Ga 0.7548 0.5097 0.7856  3 Pd 2.57-2.70, 1 Ga 2.68, 3 Li 2.77-2.80
7 Ga 0.0764 0.1527 0.4037  2 Pd 2.61, 1 Ga 2.67, 5 Li 2.68-2.76
8 Li 0.4102 0.8203 0.0817  3 Pd 2.72-2.75, 3 Li 2.73-2.92, 5 Ga 2.75-3.01
9 Li 0.6782 0.3564 0.3434  6 Ga 2.68-2.95, 2 Li 2.78-2.92, 1 Pd 2.89
10 Ga 0.0000 0.0000 0.0000  4 Ga 2.67-2.68, 4 Li 2.75
11 Ga 0.2452 0.4903 0.2144  3 Pd 2.57-2.70, 1 Ga 2.68, 3 Li 2.77-2.80
12 Pd 0.1623 0.3246 0.8034  5 Ga 2.57-2.70, 3 Li 2.72-2.75

calculated formation energy	-0.41	eV/atom
E above lowest polymorph	0.005	eV/atom
size of the total moment	0.00	μB per formula unit
energy	-40.04	eV/cell
calculated volume	185.7	Å³/cell
theoretical density	5.33	Mg/m³